Material: Mn2ZnPd2
Method: DFT, SCAN
State: PBEsol geometry

Properties
Fermi-level density of states: 0.55 states/eV/atom
Formation enthalpy at 0 K: 0.330 eV/atom

CIF file:
```
data_Mn2ZnPd2
_space_group_name_H-M_alt 'P 1'
_space_group_IT_number 1
_space_group_name_Hall 'P 1'
_cell_length_a 3.764
_cell_length_b 3.764
_cell_length_c 5.729
_cell_angle_alpha 109.18
_cell_angle_beta 109.18
_cell_angle_gamma 90.00
loop_
_atom_site_label
_atom_site_fract_x
_atom_site_fract_y
_atom_site_fract_z
Zn1 0.000 0.000 0.000
Pd1 0.250 0.750 0.500
Pd2 0.750 0.250 0.500
Mn1 0.409 0.409 0.817
Mn2 0.591 0.591 0.183
```